Computed, not measured: a relaxed structure of LiTaIr2 at the PBE-GGA level of DFT.

a b c (Å): 4.2716 4.2716 8.3806
angles (deg): 90.00 90.00 120.00
Space group P6_3/mmc (No. 194)
Asymmetric unit:
Li 0.3333 0.6667 0.2500 (multiplicity 2)
Ta 0.0000 0.0000 0.0000 (multiplicity 2)
Ir 0.3333 0.6667 0.6019 (multiplicity 4)

Results
E_tot ... -8.0781 eV/atom
Crystal system ... hexagonal
Polymorph energy (0 for the lowest one) ... 9.091 kcal/mol of atoms